1.
{"formula": "Mo6IrN", "functional": "PBE", "state": "relaxed", "sg": "P-1, No. 2", "crystal_system": "triclinic", "cell": [[4.879, 0.000, 0.000], [-0.930, 4.803, 0.000], [-1.131, -1.139, 5.029]], "species": ["Mo", "Mo", "Mo", "Mo", "Mo", "Mo", "Ir", "N"], "fractional_positions": [[0.088, 0.244, 0.184], [0.246, 0.820, 0.443], [0.300, 0.399, 0.772], [0.700, 0.601, 0.228], [0.754, 0.180, 0.557], [0.912, 0.756, 0.816], [0.500, 0.000, 0.000], [0.500, 0.500, 0.500]]}

=====

2.
{"formula": "Mo2IrN", "functional": "PBE", "state": "relaxed", "sg": "R-3m, No. 166", "crystal_system": "trigonal", "cell": [[1.404, 0.811, 7.456], [-1.404, 0.811, 7.456], [0.000, -1.621, 7.456]], "species": ["Mo", "Mo", "Ir", "N"], "fractional_positions": [[0.231, 0.231, 0.231], [0.769, 0.769, 0.769], [0.000, 0.000, 0.000], [0.500, 0.500, 0.500]]}

=====

3.
{"formula": "Mo3IrN", "functional": "PBE", "state": "relaxed", "sg": "Pm-3m, No. 221", "e_above_lowest_polymorph_ev_per_atom": 0.000, "crystal_system": "cubic", "cell": [[4.094, 0.000, 0.000], [0.000, 4.094, 0.000], [0.000, 0.000, 4.094]], "species": ["Mo", "Mo", "Mo", "Ir", "N"], "fractional_positions": [[0.000, 0.000, 0.500], [0.000, 0.500, 0.000], [0.500, 0.000, 0.000], [0.500, 0.500, 0.500], [0.000, 0.000, 0.000]]}

=====

| no. | magnetic moment (Bohr magnetons per cell) | formation energy without anion corrections (eV/atom) |
| --- | --- | --- |
| 1 | 0.0 | 0.067 |
| 2 | 0.0 | -0.154 |
| 3 | 0.0 | -0.211 |